(A)
First-principles (PBE-GGA) data for a relaxed structure of ScUIr, as listed in OQMD.

```
ScUIr
1.0
0.000 3.216 3.216
3.216 0.000 3.216
3.216 3.216 0.000
U Ir Sc
1 1 1
Cartesian
0.000 0.000 0.000
1.608 1.608 1.608
4.825 4.825 4.825
```

=====

(B)
First-principles (PBE-GGA) data for a relaxed structure of ScUIr, as listed in OQMD.

```
ScUIr
1.0
-1.448 -4.018 1.756
-3.816 -0.143 2.597
-3.833 -1.987 -1.637
Sc Ir U
1 1 1
Cartesian
-6.823 -4.611 2.037
0.000 0.000 0.000
-2.274 -1.537 0.679
```

=====

Short version: (A) is the least stable of them.

=====

(A)
First-principles (PBE-GGA) data for a relaxed structure of Te2Ir3Se4, as listed in OQMD.

```
Te2Ir3Se4
1.0
9.570 -1.941 0.000
9.570 1.941 0.000
-0.222 0.000 5.250
Ir Se Te
3 4 2
Cartesian
6.441 0.000 0.087
-0.111 0.000 2.625
12.479 0.000 5.163
14.764 0.000 4.065
16.705 0.000 1.531
4.155 0.000 1.185
2.214 0.000 3.719
10.425 0.000 1.147
8.495 0.000 4.104
```

=====

(B)
First-principles (PBE-GGA) data for a relaxed structure of Te2Ir3Se4, as listed in OQMD.

```
Te2Ir3Se4
1.0
9.545 -1.947 0.000
9.545 1.947 0.000
-0.306 0.000 5.249
Ir Se Te
3 4 2
Cartesian
12.284 0.000 5.248
6.501 0.000 0.001
-0.153 0.000 2.624
10.102 0.000 4.079
14.901 0.000 1.189
8.682 0.000 1.169
3.884 0.000 4.060
2.265 0.000 1.538
16.519 0.000 3.710
```

=====

(C)
First-principles (PBE-GGA) data for a relaxed structure of Te2Ir3Se4, as listed in OQMD.

```
Te2Ir3Se4
1.0
9.597 -1.937 0.000
9.597 1.937 0.000
-0.016 0.000 5.099
Ir Se Te
3 4 2
Cartesian
0.000 0.000 0.000
12.561 0.000 2.577
6.617 0.000 2.522
2.245 0.000 4.007
10.384 0.000 1.422
8.795 0.000 3.677
16.933 0.000 1.092
4.182 0.000 1.266
14.996 0.000 3.833
```

=====

Short version: (B) is the least stable of them.

=====

(A)
First-principles (PBE-GGA) data for a relaxed structure of SiSnIr2, as listed in OQMD.

```
SiSnIr2
1.0
-3.506 -0.962 0.040
1.359 -5.065 -2.657
0.817 -2.746 5.652
Sn Si Ir
2 2 4
Cartesian
-0.672 -4.336 2.106
0.816 -3.018 -1.020
0.276 -7.770 2.720
0.424 -1.454 2.214
-0.450 -5.248 -0.387
0.947 -3.292 3.914
-1.272 -2.211 0.571
1.623 -5.837 1.944
```

=====

(B)
First-principles (PBE-GGA) data for a relaxed structure of SiSnIr2, as listed in OQMD.

```
SiSnIr2
1.0
3.551 0.000 0.000
0.000 6.809 0.000
0.000 0.000 5.747
Ir Sn Si
4 2 2
Cartesian
1.775 3.549 5.673
1.775 3.260 2.800
0.000 6.173 0.206
0.000 0.636 3.079
1.775 1.134 1.077
1.775 5.675 3.951
0.000 4.375 1.663
0.000 2.434 4.537
```

=====

(C)
First-principles (PBE-GGA) data for a relaxed structure of SiSnIr2, as listed in OQMD.

```
SiSnIr2
1.0
-0.211 5.138 2.396
-3.704 0.179 -0.710
-1.220 -2.707 5.681
Ir Sn Si
4 2 2
Cartesian
-1.907 -2.127 4.394
-3.122 2.187 1.777
-3.228 4.736 2.974
-2.013 0.423 5.590
-1.498 0.184 2.839
-3.637 2.426 4.528
-1.217 3.608 2.240
-3.918 -0.998 5.128
```

=====

Short version: (B) is the least stable of them.

=====

(A)
First-principles (PBE-GGA) data for a relaxed structure of SmTcIr, as listed in OQMD.

```
SmTcIr
1.0
2.562 -3.305 1.783
-1.257 -4.345 -0.452
2.352 -2.774 -2.727
Sm Tc Ir
1 1 1
Cartesian
2.744 -7.818 -1.047
0.915 -2.606 -0.349
0.000 0.000 0.000
```

=====

(B)
First-principles (PBE-GGA) data for a relaxed structure of SmTcIr, as listed in OQMD.

```
SmTcIr
1.0
1.650 -4.251 0.088
2.766 -1.303 3.384
-1.478 -2.955 3.144
Tc Sm Ir
1 1 1
Cartesian
2.204 -6.382 4.962
0.000 0.000 0.000
0.735 -2.127 1.654
```

=====

Short version: (B) is the least stable of them.

=====

(A)
First-principles (PBE-GGA) data for a relaxed structure of SmTmIr, as listed in OQMD.

```
SmTmIr
1.0
7.263 0.000 0.000
0.000 4.597 0.000
0.000 0.000 8.741
Tm Sm Ir
4 4 4
Cartesian
2.610 3.448 5.041
6.241 3.448 8.071
1.022 1.149 0.670
4.653 1.149 3.700
7.176 3.448 2.902
3.718 1.149 7.272
3.545 3.448 1.469
0.087 1.149 5.839
1.802 3.448 7.919
5.461 1.149 0.822
1.830 1.149 3.549
5.433 3.448 5.192
```

=====

(B)
First-principles (PBE-GGA) data for a relaxed structure of SmTmIr, as listed in OQMD.

```
SmTmIr
1.0
0.000 3.328 3.328
3.328 0.000 3.328
3.328 3.328 0.000
Sm Tm Ir
1 1 1
Cartesian
4.991 4.991 4.991
0.000 0.000 0.000
1.664 1.664 1.664
```

=====

Short version: (B) is the least stable of them.

=====

(A)
First-principles (PBE-GGA) data for a relaxed structure of SmIrW, as listed in OQMD.

```
SmIrW
1.0
-3.946 -1.605 1.748
-3.088 2.919 1.774
-3.972 0.766 -2.199
Ir W Sm
1 1 1
Cartesian
-2.752 0.520 0.331
-8.255 1.560 0.992
0.000 0.000 0.000
```

=====

(B)
First-principles (PBE-GGA) data for a relaxed structure of SmIrW, as listed in OQMD.

```
SmIrW
1.0
0.000 3.238 3.238
3.238 0.000 3.238
3.238 3.238 0.000
Sm W Ir
1 1 1
Cartesian
4.856 4.856 4.856
1.619 1.619 1.619
0.000 0.000 0.000
```

=====

Short version: (A) is the least stable of them.

=====

(A)
First-principles (PBE-GGA) data for a relaxed structure of SrZn3Ir, as listed in OQMD.

```
SrZn3Ir
1.0
6.463 0.000 0.000
0.000 6.463 0.000
0.000 0.000 5.076
Zn Sr Ir
6 2 2
Cartesian
3.231 0.000 0.894
4.847 4.847 2.538
4.847 1.616 2.538
1.616 1.616 2.538
0.000 3.231 4.183
1.616 4.847 2.538
0.000 0.000 0.000
3.231 3.231 0.000
0.000 3.231 1.584
3.231 0.000 3.492
```

=====

(B)
First-principles (PBE-GGA) data for a relaxed structure of SrZn3Ir, as listed in OQMD.

```
SrZn3Ir
1.0
-4.500 -1.340 -1.211
-0.410 -2.406 4.189
-1.759 3.990 2.120
Ir Zn Sr
1 3 1
Cartesian
0.000 0.000 0.000
-2.250 -0.670 -0.605
-0.879 1.995 1.060
-0.205 -1.203 2.095
-3.334 0.122 2.549
```

=====

Short version: (B) is the least stable of them.

=====

(A)
First-principles (PBE-GGA) data for a relaxed structure of TcIr2, as listed in OQMD.

```
TcIr2
1.0
0.000 3.598 3.598
3.598 0.000 3.598
3.598 3.598 0.000
Tc Ir
2 4
Cartesian
0.000 0.000 0.000
1.799 1.799 1.799
4.498 4.498 4.498
2.699 2.699 4.498
4.498 2.699 2.699
2.699 4.498 2.699
```

=====

(B)
First-principles (PBE-GGA) data for a relaxed structure of TcIr2, as listed in OQMD.

```
TcIr2
1.0
3.777 2.181 6.169
-3.777 2.181 6.169
0.000 -4.362 6.169
Ir Tc
4 2
Cartesian
0.000 0.000 6.940
-1.889 1.090 10.024
1.889 1.090 10.024
0.000 -2.181 10.024
0.000 0.000 4.626
0.000 0.000 9.253
```

=====

Short version: (B) is the least stable of them.